[1]
Entry from Alexandria: an optimized crystal structure of K3Tb3NpO8 (PBE).

Cell lengths 7.0039, 7.0039, 7.5214 Å; angles 117.76, 90.00, 120.00 degrees
Atoms (fractional coordinates):
K 0.0000 0.0000 0.0000
K 0.0000 0.5000 0.0000
K 0.5000 0.5000 0.0000
Tb 0.5000 0.0000 0.5000
Tb 0.5000 0.5000 0.5000
Tb 0.0000 0.5000 0.5000
Np 0.0000 0.0000 0.5000
O 0.2729 0.5458 0.3187
O 0.7271 0.4542 0.6813
O 0.7806 0.5613 0.3247
O 0.2194 0.4387 0.6753
O 0.7806 0.0439 0.3247
O 0.2194 0.9561 0.6753
O 0.2633 0.0439 0.3247
O 0.7367 0.9561 0.6753

## Properties
Uncorrected formation energy (eV per atom): -2.7909


[2]
Entry from Alexandria: an optimized crystal structure of AcNdPuAl (PBE).

Cell lengths 5.5446, 5.5446, 5.5446 Å; angles 60.00, 60.00, 60.00 degrees
Atoms (fractional coordinates):
Ac 0.7500 0.7500 0.7500
Nd 0.5000 0.5000 0.5000
Al 0.2500 0.2500 0.2500
Pu 0.0000 0.0000 0.0000

## Properties
Energy of formation (eV per atom): 0.177


[3]
Entry from Alexandria: an optimized crystal structure of RbYGa2 (PBE).

Cell lengths 5.4311, 5.4311, 5.4311 Å; angles 60.00, 60.00, 60.00 degrees
Atoms (fractional coordinates):
Y 0.5000 0.5000 0.5000
Ga 0.2500 0.2500 0.2500
Ga 0.7500 0.7500 0.7500
Rb 0.0000 0.0000 0.0000

## Properties
Energy of formation (eV per atom): 0.103
E above lowest polymorph (meV/atom): 0


[4]
Entry from Alexandria: an optimized crystal structure of Sr2TlCd4 (PBE).

Cell lengths 5.4909, 5.4909, 9.6211 Å; angles 73.42, 73.42, 90.00 degrees
Atoms (fractional coordinates):
Sr 0.6375 0.6375 0.7250
Sr 0.3625 0.3625 0.2750
Tl 0.0000 0.0000 0.0000
Cd 0.8257 0.8257 0.3487
Cd 0.1743 0.1743 0.6513
Cd 0.0000 0.5000 0.0000
Cd 0.5000 0.0000 0.0000

## Properties
Energy of formation (eV per atom): 0.054
E above lowest polymorph (meV/atom): 331


[5]
Entry from Alexandria: an optimized crystal structure of TlAs2Os (PBE).

Cell lengths 9.2492, 9.2492, 9.2492 Å; angles 160.82, 160.75, 27.31 degrees
Atoms (fractional coordinates):
Tl 0.3112 0.8112 0.5000
Os 0.5516 0.5516 0.0000
As 0.9764 0.9764 0.0000
As 0.6608 0.1608 0.5000

## Properties
Energy of formation (eV per atom): 0.161
E above lowest polymorph (meV/atom): 24


[6]
Entry from Alexandria: an optimized crystal structure of Tb8Cd2In (PBE).

Cell lengths 5.3309, 8.5505, 8.6060 Å; angles 119.08, 108.04, 90.00 degrees
Atoms (fractional coordinates):
Tb 0.5928 0.4526 0.1856
Tb 0.3183 0.0504 0.6367
Tb 0.1385 0.1867 0.2770
Tb 0.0675 0.7206 0.1350
Tb 0.8615 0.8133 0.7230
Tb 0.6817 0.9496 0.3633
Tb 0.4072 0.5474 0.8144
Tb 0.9325 0.2794 0.8650
Cd 0.2256 0.6158 0.4512
Cd 0.7744 0.3842 0.5488
In 0.5000 0.0000 0.0000

## Properties
Energy of formation (eV per atom): -0.200
E above lowest polymorph (meV/atom): 0


[7]
Entry from Alexandria: an optimized crystal structure of SrZrAg2 (PBE).

Cell lengths 3.6214, 3.6214, 7.6590 Å; angles 90.00, 90.00, 90.00 degrees
Atoms (fractional coordinates):
Ag 0.0000 0.0000 0.0120
Ag 0.5000 0.5000 0.1998
Sr 0.0000 0.0000 0.4736
Zr 0.5000 0.5000 0.8147

## Properties
Energy of formation (eV per atom): 0.127
E above lowest polymorph (meV/atom): 175


[8]
Entry from Alexandria: an optimized crystal structure of V3CdMo (PBE).

Cell lengths 4.5860, 4.5860, 4.5860 Å; angles 90.00, 90.00, 90.00 degrees
Atoms (fractional coordinates):
Mo 0.0000 0.0000 0.0000
Cd 0.5000 0.5000 0.5000
V 0.0000 0.5000 0.0000
V 0.0000 0.0000 0.5000
V 0.5000 0.0000 0.0000

## Properties
Energy of formation (eV per atom): 1.147
E above lowest polymorph (meV/atom): 0


[9]
Entry from Alexandria: an optimized crystal structure of PrAlTe (PBE).

Cell lengths 4.5610, 4.3851, 13.0952 Å; angles 88.58, 79.97, 58.66 degrees
Atoms (fractional coordinates):
Pr 0.8067 0.1120 0.2746
Pr 0.1933 0.8880 0.7254
Al 0.6528 0.1570 0.5373
Al 0.3472 0.8430 0.4627
Te 0.2306 0.3935 0.1453
Te 0.7694 0.6065 0.8547

## Properties
Uncorrected formation energy (eV per atom): -0.5666


[10]
Entry from Alexandria: an optimized crystal structure of TlSbPbAu2 (PBE).

Cell lengths 4.5029, 9.0278, 7.2146 Å; angles 83.32, 71.82, 75.56 degrees
Atoms (fractional coordinates):
Tl 0.8583 0.6554 0.6280
Tl 0.1417 0.3446 0.3720
Sb 0.0921 0.0590 0.7568
Sb 0.9079 0.9410 0.2432
Pb 0.3776 0.3885 0.8563
Pb 0.6224 0.6115 0.1437
Au 0.3520 0.8433 0.4526
Au 0.6480 0.1567 0.5474
Au 0.8268 0.2506 0.0958
Au 0.1732 0.7494 0.9042

## Properties
Uncorrected formation energy (eV per atom): -0.0441


[11]
Entry from Alexandria: an optimized crystal structure of NdThIrI (PBE).

Cell lengths 4.2309, 4.2306, 8.6004 Å; angles 90.00, 104.24, 120.00 degrees
Atoms (fractional coordinates):
Nd 0.5149 0.1553 0.6857
Th 0.0871 0.9414 0.0439
Ir 0.3098 0.5528 0.8780
I 0.9661 0.3812 0.3622

## Properties
Uncorrected formation energy (eV per atom): -0.9630


[12]
Entry from Alexandria: an optimized crystal structure of La5CrPb3 (PBE).

Cell lengths 9.8798, 9.8798, 6.8775 Å; angles 90.00, 90.00, 120.00 degrees
Atoms (fractional coordinates):
La 0.7275 0.7275 0.7500
La 0.2725 0.0000 0.7500
La 0.0000 0.2725 0.7500
La 0.2725 0.2725 0.2500
La 0.7275 0.0000 0.2500
La 0.0000 0.7275 0.2500
La 0.6667 0.3333 0.0000
La 0.3333 0.6667 0.0000
La 0.3333 0.6667 0.5000
La 0.6667 0.3333 0.5000
Cr 0.0000 0.0000 0.0000
Cr 0.0000 0.0000 0.5000
Pb 0.3767 0.3767 0.7500
Pb 0.6233 0.0000 0.7500
Pb 0.0000 0.6233 0.7500
Pb 0.6233 0.6233 0.2500
Pb 0.3767 0.0000 0.2500
Pb 0.0000 0.3767 0.2500

## Properties
Energy of formation (eV per atom): -0.328


[13]
Entry from Alexandria: an optimized crystal structure of ZrTeRhI2 (PBE).

Cell lengths 5.6987, 5.6987, 5.6423 Å; angles 90.00, 90.00, 90.00 degrees
Atoms (fractional coordinates):
I 0.0000 0.5000 0.0000
I 0.5000 0.0000 0.0000
Te 0.0000 0.0000 0.5000
Rh 0.5000 0.5000 0.5000
Zr 0.0000 0.0000 0.0000

## Properties
Uncorrected formation energy (eV per atom): 0.4399
E above lowest polymorph (meV/atom): 50


[14]
Entry from Alexandria: an optimized crystal structure of Np2Hg3Bi3 (PBE).

Cell lengths 5.0566, 4.7295, 9.0021 Å; angles 90.00, 90.00, 90.00 degrees
Atoms (fractional coordinates):
Np 0.0000 0.0000 0.7493
Np 0.0000 0.0000 0.2507
Hg 0.5000 0.5000 0.7601
Hg 0.5000 0.5000 0.2399
Hg 0.5000 0.0000 0.0000
Bi 0.5000 0.0000 0.5000
Bi 0.0000 0.5000 0.0000
Bi 0.0000 0.5000 0.5000

## Properties
Energy of formation (eV per atom): 0.008


[15]
Entry from Alexandria: an optimized crystal structure of Pa3Mn3B8 (PBE).

Cell lengths 3.2404, 7.8633, 7.8633 Å; angles 54.63, 78.11, 78.11 degrees
Atoms (fractional coordinates):
Pa 0.5000 0.5000 0.5000
Pa 0.7815 0.2185 0.2185
Pa 0.2185 0.7815 0.7815
Mn 0.5000 0.0000 0.0000
Mn 0.0000 0.7877 0.2123
Mn 0.0000 0.2123 0.7877
B 0.6290 0.1103 0.6316
B 0.3710 0.8897 0.3684
B 0.6290 0.6316 0.1103
B 0.3710 0.3684 0.8897
B 0.8616 0.7789 0.4979
B 0.1384 0.2211 0.5021
B 0.8616 0.4979 0.7789
B 0.1384 0.5021 0.2211

## Properties
Energy of formation (eV per atom): -0.307


[16]
Entry from Alexandria: an optimized crystal structure of TlCoN2 (PBE).

Cell lengths 6.6615, 6.6615, 6.6615 Å; angles 26.03, 26.03, 26.03 degrees
Atoms (fractional coordinates):
Tl 0.0000 0.0000 0.0000
Co 0.5000 0.5000 0.5000
N 0.8799 0.8799 0.8799
N 0.1201 0.1201 0.1201

## Properties
Uncorrected formation energy (eV per atom): 0.7919
E above lowest polymorph (meV/atom): 179


[17]
Entry from Alexandria: an optimized crystal structure of KInGe (PBE).

Cell lengths 10.5526, 6.6060, 6.6060 Å; angles 142.19, 135.04, 44.96 degrees
Atoms (fractional coordinates):
Ge 0.9377 0.7474 0.2526
Ge 0.8236 0.2179 0.7821
K 0.3764 0.0298 0.9702
K 0.6638 0.5951 0.4049
In 0.0607 0.8819 0.1181
In 0.2276 0.4078 0.5922

## Properties
Energy of formation (eV per atom): -0.045


[18]
Entry from Alexandria: an optimized crystal structure of LaNdYTm3 (PBE).

Cell lengths 5.8161, 6.5078, 11.6308 Å; angles 90.00, 90.00, 116.54 degrees
Atoms (fractional coordinates):
La 0.5063 0.0126 0.7500
La 0.4937 0.9874 0.2500
Nd 0.0000 0.0000 0.5000
Nd 0.0000 0.0000 0.0000
Y 0.8245 0.6490 0.7500
Y 0.1755 0.3510 0.2500
Tm 0.6756 0.3512 0.4943
Tm 0.3244 0.6488 0.5057
Tm 0.3244 0.6488 0.9943
Tm 0.6756 0.3512 0.0057
Tm 0.1695 0.3390 0.7500
Tm 0.8305 0.6610 0.2500

## Properties
Energy of formation (eV per atom): 0.104


[19]
Entry from Alexandria: an optimized crystal structure of OsPb2W (PBE).

Cell lengths 6.5022, 6.5022, 6.5022 Å; angles 151.52, 134.83, 54.27 degrees
Atoms (fractional coordinates):
Os 0.2949 0.7949 0.5000
Pb 0.0286 0.0286 0.0000
Pb 0.7270 0.2270 0.5000
W 0.4495 0.4495 0.0000

## Properties
Energy of formation (eV per atom): 0.891
E above lowest polymorph (meV/atom): 513


[20]
Entry from Alexandria: an optimized crystal structure of BaNaGaSn (PBE).

Cell lengths 5.5022, 5.5022, 5.5022 Å; angles 60.00, 60.00, 60.00 degrees
Atoms (fractional coordinates):
Na 0.7500 0.7500 0.7500
Ba 0.5000 0.5000 0.5000
Ga 0.2500 0.2500 0.2500
Sn 0.0000 0.0000 0.0000

## Properties
Energy of formation (eV per atom): -0.261


[21]
Entry from Alexandria: an optimized crystal structure of Ac6Hg3Rh2Au (PBE).

Cell lengths 7.5743, 7.5743, 8.5523 Å; angles 98.44, 98.44, 119.68 degrees
Atoms (fractional coordinates):
Ac 0.9284 0.5772 0.7877
Ac 0.7164 0.7164 0.2045
Ac 0.0716 0.4228 0.2123
Ac 0.5772 0.9284 0.7877
Ac 0.2836 0.2836 0.7955
Ac 0.4228 0.0716 0.2123
Hg 0.1536 0.8464 0.5000
Hg 0.8464 0.1536 0.5000
Hg 0.5000 0.5000 0.5000
Rh 0.3318 0.6682 0.0000
Rh 0.6682 0.3318 0.0000
Au 0.0000 0.0000 0.0000

## Properties
Energy of formation (eV per atom): -0.608


[22]
Entry from Alexandria: an optimized crystal structure of TbPm2YTm2 (PBE).

Cell lengths 5.6316, 7.0348, 9.7158 Å; angles 90.00, 90.00, 90.00 degrees
Atoms (fractional coordinates):
Tb 0.5000 0.2576 0.6816
Tb 0.5000 0.7576 0.3184
Pm 0.0000 0.2577 0.8237
Pm 0.5000 0.2575 0.3456
Pm 0.0000 0.7577 0.1763
Pm 0.5000 0.7575 0.6544
Y 0.0000 0.0075 0.5001
Y 0.0000 0.5075 0.4999
Tm 0.5000 0.0078 0.9999
Tm 0.0000 0.2576 0.1561
Tm 0.5000 0.5078 0.0001
Tm 0.0000 0.7576 0.8439

## Properties
Energy of formation (eV per atom): 0.060


[23]
Entry from Alexandria: an optimized crystal structure of LiNpAgO4 (PBE).

Cell lengths 6.7300, 6.4324, 7.0445 Å; angles 123.20, 90.00, 121.54 degrees
Atoms (fractional coordinates):
Li 0.5000 0.5000 0.5000
Li 0.0000 0.5000 0.5000
Np 0.5000 0.0000 0.5000
Np 0.5000 0.0000 0.0000
Ag 0.9014 0.8027 0.1514
Ag 0.0986 0.1973 0.8486
O 0.7262 0.4523 0.6997
O 0.3073 0.0061 0.2530
O 0.6988 0.0061 0.2530
O 0.7262 0.4523 0.2527
O 0.2738 0.5477 0.7473
O 0.6927 0.9939 0.7470
O 0.3012 0.9939 0.7470
O 0.2738 0.5477 0.3003

## Properties
Uncorrected formation energy (eV per atom): -2.0507


[24]
Entry from Alexandria: an optimized crystal structure of Zn2Sn2O5 (PBE).

Cell lengths 3.3298, 6.2744, 11.8699 Å; angles 90.00, 90.00, 90.00 degrees
Atoms (fractional coordinates):
Zn 0.5000 0.2872 0.8451
Zn 0.5000 0.6214 0.6316
Zn 0.5000 0.7872 0.1549
Zn 0.5000 0.1214 0.3684
Sn 0.0000 0.2801 0.1042
Sn 0.0000 0.6001 0.3780
Sn 0.0000 0.1001 0.6220
Sn 0.0000 0.7801 0.8958
O 0.0000 0.5786 0.1780
O 0.0000 0.2063 0.4451
O 0.0000 0.7063 0.5549
O 0.0000 0.4333 0.9468
O 0.5000 0.3107 0.6683
O 0.5000 0.6822 0.8058
O 0.0000 0.9333 0.0532
O 0.5000 0.1822 0.1942
O 0.0000 0.0786 0.8220
O 0.5000 0.8107 0.3317

## Properties
Uncorrected formation energy (eV per atom): -1.2643